(P)
VASP calculation (GGA-PBE) on a relaxed NdSm4Tm6 crystal.

Unit cell a=7.7558 b=7.7558 c=8.4312 alpha=117.38 beta=117.38 gamma=90.00
With the nearest neighbours (Å) after each atom.
Fractional coordinates of all 11 atoms:
Nd 0.5000 0.5000 0.0000  8 Tm 3.67-3.88, 4 Sm 3.73
Sm 0.0974 0.7542 0.8516  3 Tm 3.03-3.23, 2 Sm 3.27
Sm 0.9026 0.9026 0.1484  3 Tm 3.03-3.23, 2 Sm 3.27
Sm 0.7542 0.0974 0.8516  3 Tm 3.03-3.23, 2 Sm 3.27
Sm 0.2458 0.2458 0.1484  3 Tm 3.03-3.23, 2 Sm 3.27
Tm 0.9403 0.4283 0.3686  4 Sm 3.23-3.56
Tm 0.4283 0.9403 0.3686  4 Sm 3.23-3.56
Tm 0.5717 0.5717 0.6314  4 Sm 3.23-3.56
Tm 0.0000 0.5000 0.0000  4 Sm 3.03
Tm 0.0597 0.0597 0.6314  4 Sm 3.23-3.56
Tm 0.5000 0.0000 0.0000  4 Sm 3.03

- total moment (μB per atom) = 0.00
- ρ (g/cm3) = 7.58

(Q)
VASP calculation (GGA-PBE) on a relaxed NdSm4Tm6 crystal.

Unit cell a=9.6542 b=9.6542 c=9.6542 alpha=57.96 beta=139.93 gamma=139.93
With the nearest neighbours (Å) after each atom.
Fractional coordinates of all 11 atoms:
Nd 0.0000 0.0000 0.0000  8 Tm 3.31-3.69, 4 Sm 3.44
Sm 0.0000 0.6359 0.0142  5 Tm 3.36-3.59, 1 Nd 3.44, 1 Sm 3.54
Sm 0.3783 0.3641 0.3641  5 Tm 3.36-3.59, 1 Nd 3.44, 1 Sm 3.54
Sm 0.0000 0.0142 0.6359  5 Tm 3.36-3.59, 1 Nd 3.44, 1 Sm 3.54
Sm 0.6217 0.9858 0.9858  5 Tm 3.36-3.59, 1 Nd 3.44, 1 Sm 3.54
Tm 0.0000 0.8045 0.4479  3 Tm 3.24-3.34, 5 Sm 3.36-3.59
Tm 0.0000 0.4479 0.8045  3 Tm 3.24-3.34, 5 Sm 3.36-3.59
Tm 0.3566 0.5521 0.5521  3 Tm 3.24-3.34, 5 Sm 3.36-3.59
Tm 0.5000 0.5000 0.0000  4 Tm 3.24, 2 Nd 3.31
Tm 0.6434 0.1955 0.1955  3 Tm 3.24-3.34, 5 Sm 3.36-3.59
Tm 0.5000 0.0000 0.5000  4 Tm 3.24, 2 Nd 3.31

- total moment (μB per atom) = 0.00
- ρ (g/cm3) = 7.91

Stability, lowest: (P)

(P)
VASP calculation (GGA-PBE) on a relaxed Nd5Sm2Tm5 crystal.

Unit cell a=5.6928 b=6.5658 c=12.4368 alpha=107.41 beta=90.00 gamma=115.69
With the nearest neighbours (Å) after each atom.
Fractional coordinates of all 12 atoms:
Nd 0.1745 0.3490 0.4576  2 Sm 3.22-3.59, 3 Nd 3.34-3.41
Nd 0.7364 0.4728 0.7769  2 Sm 3.25, 2 Tm 3.36-3.61, 2 Nd 3.41-3.42
Nd 0.2636 0.5272 0.2231  2 Sm 3.25, 2 Tm 3.36-3.61, 2 Nd 3.41-3.42
Nd 0.8255 0.6510 0.5424  2 Sm 3.22-3.59, 3 Nd 3.34-3.41
Nd 0.0000 0.0000 0.0000  2 Nd 3.42, 4 Tm 3.53
Sm 0.0976 0.1951 0.7135  4 Nd 3.22-3.59, 1 Tm 3.42
Sm 0.9024 0.8049 0.2865  4 Nd 3.22-3.59, 1 Tm 3.42
Tm 0.5000 0.0000 0.5000  2 Tm 3.53, 8 Nd 3.65-3.71, 4 Sm 3.80
Tm 0.6832 0.3664 0.0257  5 Nd 3.36-3.67, 4 Tm 3.40-3.75, 1 Sm 3.42
Tm 0.5762 0.1525 0.2483  3 Tm 3.40-3.75, 5 Nd 3.61-3.77, 3 Sm 3.63-3.73
Tm 0.4238 0.8475 0.7517  3 Tm 3.40-3.75, 5 Nd 3.61-3.77, 3 Sm 3.63-3.73
Tm 0.3168 0.6336 0.9743  5 Nd 3.36-3.67, 4 Tm 3.40-3.75, 1 Sm 3.42

- total moment (μB per atom) = 0.00
- ρ (g/cm3) = 7.84

(Q)
VASP calculation (GGA-PBE) on a relaxed Nd5Sm2Tm5 crystal.

Unit cell a=5.0609 b=8.0282 c=10.7939 alpha=72.89 beta=76.44 gamma=71.63
With the nearest neighbours (Å) after each atom.
Fractional coordinates of all 12 atoms:
Nd 0.8352 0.8312 0.4984  2 Sm 3.57-3.63, 5 Tm 3.57-3.64, 5 Nd 3.61-3.63
Nd 0.2491 0.7490 0.7528  6 Tm 3.57-3.61, 4 Nd 3.57-3.63, 2 Sm 3.60
Nd 0.7509 0.2510 0.2472  6 Tm 3.57-3.61, 4 Nd 3.57-3.63, 2 Sm 3.60
Nd 0.1648 0.1688 0.5016  2 Sm 3.57-3.63, 5 Tm 3.57-3.64, 5 Nd 3.61-3.63
Nd 0.0000 0.0000 0.0000  2 Nd 3.57, 2 Sm 3.57, 8 Tm 3.58-3.59
Sm 0.9172 0.4134 0.7522  7 Tm 3.56-3.61, 5 Nd 3.57-3.63
Sm 0.0828 0.5866 0.2478  7 Tm 3.56-3.61, 5 Nd 3.57-3.63
Tm 0.5000 0.5000 0.5000  6 Nd 3.57-3.61, 2 Tm 3.60, 4 Sm 3.61
Tm 0.3328 0.3339 0.0005  5 Nd 3.57-3.59, 4 Tm 3.58-3.60, 3 Sm 3.58
Tm 0.4179 0.9156 0.2486  2 Sm 3.56, 7 Nd 3.58-3.64, 3 Tm 3.58-3.60
Tm 0.5821 0.0844 0.7514  2 Sm 3.56, 7 Nd 3.58-3.64, 3 Tm 3.58-3.60
Tm 0.6672 0.6661 0.9995  5 Nd 3.57-3.59, 4 Tm 3.58-3.60, 3 Sm 3.58

- total moment (μB per atom) = 0.00
- ρ (g/cm3) = 7.89

Stability, lowest: (P)

(P)
VASP calculation (GGA-PBE) on a relaxed Nd2Sm3Tm2 crystal.

Unit cell a=3.5293 b=8.6039 c=9.0210 alpha=118.51 beta=101.28 gamma=90.00
With the nearest neighbours (Å) after each atom.
Fractional coordinates of all 7 atoms:
Nd 0.5656 0.9129 0.1312  3 Nd 3.32-3.53, 5 Sm 3.49-3.66, 2 Tm 3.63
Nd 0.4344 0.0871 0.8688  3 Nd 3.32-3.53, 5 Sm 3.49-3.66, 2 Tm 3.63
Sm 0.0000 0.5000 0.0000  4 Sm 3.36-3.53, 2 Tm 3.56, 4 Nd 3.61
Sm 0.2121 0.7957 0.4241  5 Sm 3.36-3.56, 3 Nd 3.49-3.66, 3 Tm 3.57-3.61
Sm 0.7879 0.2043 0.5759  5 Sm 3.36-3.56, 3 Nd 3.49-3.66, 3 Tm 3.57-3.61
Tm 0.8508 0.6661 0.7016  4 Tm 3.53-3.75, 4 Sm 3.56-3.61, 4 Nd 3.63-3.77
Tm 0.1492 0.3339 0.2984  4 Tm 3.53-3.75, 4 Sm 3.56-3.61, 4 Nd 3.63-3.77

- total moment (μB per atom) = 0.00
- ρ (g/cm3) = 7.62

(Q)
VASP calculation (GGA-PBE) on a relaxed Nd2Sm3Tm2 crystal.

Unit cell a=3.6136 b=10.7987 c=6.2154 alpha=95.43 beta=73.18 gamma=89.96
With the nearest neighbours (Å) after each atom.
Fractional coordinates of all 7 atoms:
Nd 0.7166 0.1448 0.5677  5 Sm 3.58-3.63, 3 Tm 3.59-3.60, 4 Nd 3.61-3.63
Nd 0.2834 0.8552 0.4323  5 Sm 3.58-3.63, 3 Tm 3.59-3.60, 4 Nd 3.61-3.63
Sm 0.0000 0.0000 0.0000  6 Nd 3.58-3.63, 2 Sm 3.61, 4 Tm 3.62
Sm 0.8569 0.5696 0.2835  5 Sm 3.55-3.61, 5 Tm 3.57-3.62, 2 Nd 3.61
Sm 0.1431 0.4304 0.7165  5 Sm 3.55-3.61, 5 Tm 3.57-3.62, 2 Nd 3.61
Tm 0.4293 0.2875 0.1406  7 Sm 3.57-3.62, 3 Nd 3.59-3.60, 2 Tm 3.61
Tm 0.5707 0.7125 0.8594  7 Sm 3.57-3.62, 3 Nd 3.59-3.60, 2 Tm 3.61

- total moment (μB per atom) = 0.00
- ρ (g/cm3) = 7.74

Stability, lowest: (P)

(P)
VASP calculation (GGA-PBE) on a relaxed NdSm12Tm6 crystal.

Unit cell a=8.5937 b=8.5937 c=8.5937 alpha=88.76 beta=88.76 gamma=88.76
With the nearest neighbours (Å) after each atom.
Fractional coordinates of all 19 atoms:
Nd 0.0000 0.0000 0.0000  6 Tm 3.48, 6 Sm 3.59
Sm 0.7797 0.5379 0.4333  3 Tm 3.31-3.47, 6 Sm 3.32-3.70
Sm 0.4333 0.7797 0.5379  3 Tm 3.31-3.47, 6 Sm 3.32-3.70
Sm 0.5379 0.4333 0.7797  3 Tm 3.31-3.47, 6 Sm 3.32-3.70
Sm 0.2203 0.4621 0.5667  3 Tm 3.31-3.47, 6 Sm 3.32-3.70
Sm 0.5667 0.2203 0.4621  3 Tm 3.31-3.47, 6 Sm 3.32-3.70
Sm 0.4621 0.5667 0.2203  3 Tm 3.31-3.47, 6 Sm 3.32-3.70
Sm 0.0152 0.1983 0.3621  4 Sm 3.44-3.61, 4 Tm 3.51-3.68, 1 Nd 3.59
Sm 0.8017 0.6379 0.9848  4 Sm 3.44-3.61, 4 Tm 3.51-3.68, 1 Nd 3.59
Sm 0.6379 0.9848 0.8017  4 Sm 3.44-3.61, 4 Tm 3.51-3.68, 1 Nd 3.59
Sm 0.9848 0.8017 0.6379  4 Sm 3.44-3.61, 4 Tm 3.51-3.68, 1 Nd 3.59
Sm 0.1983 0.3621 0.0152  4 Sm 3.44-3.61, 4 Tm 3.51-3.68, 1 Nd 3.59
Sm 0.3621 0.0152 0.1983  4 Sm 3.44-3.61, 4 Tm 3.51-3.68, 1 Nd 3.59
Tm 0.7417 0.9008 0.3018  7 Sm 3.31-3.68, 1 Nd 3.48, 2 Tm 3.52
Tm 0.6982 0.2583 0.0992  7 Sm 3.31-3.68, 1 Nd 3.48, 2 Tm 3.52
Tm 0.0992 0.6982 0.2583  7 Sm 3.31-3.68, 1 Nd 3.48, 2 Tm 3.52
Tm 0.2583 0.0992 0.6982  7 Sm 3.31-3.68, 1 Nd 3.48, 2 Tm 3.52
Tm 0.3018 0.7417 0.9008  7 Sm 3.31-3.68, 1 Nd 3.48, 2 Tm 3.52
Tm 0.9008 0.3018 0.7417  7 Sm 3.31-3.68, 1 Nd 3.48, 2 Tm 3.52

- total moment (μB per atom) = 0.00
- ρ (g/cm3) = 7.76

(Q)
VASP calculation (GGA-PBE) on a relaxed NdSm12Tm6 crystal.

Unit cell a=8.7618 b=8.7618 c=8.7618 alpha=98.89 beta=98.89 gamma=98.89
With the nearest neighbours (Å) after each atom.
Fractional coordinates of all 19 atoms:
Nd 0.0000 0.0000 0.0000  6 Tm 3.42
Sm 0.7584 0.2416 0.5000  6 Sm 3.36-3.55, 4 Tm 3.45-3.59
Sm 0.3549 0.0821 0.3549  6 Sm 3.36-3.63, 2 Tm 3.75
Sm 0.3549 0.3549 0.0821  6 Sm 3.36-3.63, 2 Tm 3.75
Sm 0.9179 0.6451 0.6451  6 Sm 3.36-3.63, 2 Tm 3.75
Sm 0.6451 0.6451 0.9179  6 Sm 3.36-3.63, 2 Tm 3.75
Sm 0.6451 0.9179 0.6451  6 Sm 3.36-3.63, 2 Tm 3.75
Sm 0.5000 0.7584 0.2416  6 Sm 3.36-3.55, 4 Tm 3.45-3.59
Sm 0.2416 0.5000 0.7584  6 Sm 3.36-3.55, 4 Tm 3.45-3.59
Sm 0.2416 0.7584 0.5000  6 Sm 3.36-3.55, 4 Tm 3.45-3.59
Sm 0.5000 0.2416 0.7584  6 Sm 3.36-3.55, 4 Tm 3.45-3.59
Sm 0.7584 0.5000 0.2416  6 Sm 3.36-3.55, 4 Tm 3.45-3.59
Sm 0.0821 0.3549 0.3549  6 Sm 3.36-3.63, 2 Tm 3.75
Tm 0.8992 0.3381 0.8992  3 Tm 3.20-3.56, 1 Nd 3.42, 2 Sm 3.45
Tm 0.8992 0.8992 0.3381  3 Tm 3.20-3.56, 1 Nd 3.42, 2 Sm 3.45
Tm 0.3381 0.8992 0.8992  3 Tm 3.20-3.56, 1 Nd 3.42, 2 Sm 3.45
Tm 0.1008 0.1008 0.6619  3 Tm 3.20-3.56, 1 Nd 3.42, 2 Sm 3.45
Tm 0.1008 0.6619 0.1008  3 Tm 3.20-3.56, 1 Nd 3.42, 2 Sm 3.45
Tm 0.6619 0.1008 0.1008  3 Tm 3.20-3.56, 1 Nd 3.42, 2 Sm 3.45

- total moment (μB per atom) = 0.00
- ρ (g/cm3) = 7.62

Stability, lowest: (Q)